Record 1
Density functional theory data (PBE-GGA) for CsK3Ru after structural relaxation.

CIF file:
```
data_CsK3Ru
_space_group_name_H-M_alt 'P m -3 m'
_space_group_IT_number 221
_space_group_name_Hall '-P 4 2 3'
_cell_length_a 6.3680
_cell_length_b 6.3680
_cell_length_c 6.3680
_cell_angle_alpha 90.00
_cell_angle_beta 90.00
_cell_angle_gamma 90.00
loop_
_atom_site_label
_atom_site_type_symbol
_atom_site_fract_x
_atom_site_fract_y
_atom_site_fract_z
_atom_site_occupancy
Cs1 Cs 0.0000 0.0000 0.0000 1
K1 K 0.0000 0.5000 0.5000 1
Ru1 Ru 0.5000 0.5000 0.5000 1
```

Excess energy over the best structure of this formula in the dataset, eV/f.u.: 0.00
ΔE_f, kJ/mol of atoms: 85.53
N(E_F), states/eV/f.u.: 13.9

***

Record 2
Density functional theory data (PBE-GGA) for CsKRu3 after structural relaxation.

CIF file:
```
data_CsKRu3
_space_group_name_H-M_alt 'P m -3 m'
_space_group_IT_number 221
_space_group_name_Hall '-P 4 2 3'
_cell_length_a 5.2117
_cell_length_b 5.2117
_cell_length_c 5.2117
_cell_angle_alpha 90.00
_cell_angle_beta 90.00
_cell_angle_gamma 90.00
loop_
_atom_site_label
_atom_site_type_symbol
_atom_site_fract_x
_atom_site_fract_y
_atom_site_fract_z
_atom_site_occupancy
Cs1 Cs 0.0000 0.0000 0.0000 1
K1 K 0.5000 0.5000 0.5000 1
Ru1 Ru 0.0000 0.5000 0.5000 1
```

Excess energy over the best structure of this formula in the dataset, eV/f.u.: 1.18
ΔE_f, kJ/mol of atoms: 271.08
N(E_F), states/eV/f.u.: 7.6

***

Record 3
Density functional theory data (PBE-GGA) for CsKRu3 after structural relaxation.

CIF file:
```
data_CsKRu3
_space_group_name_H-M_alt 'P m -3 m'
_space_group_IT_number 221
_space_group_name_Hall '-P 4 2 3'
_cell_length_a 5.0901
_cell_length_b 5.0901
_cell_length_c 5.0901
_cell_angle_alpha 90.00
_cell_angle_beta 90.00
_cell_angle_gamma 90.00
loop_
_atom_site_label
_atom_site_type_symbol
_atom_site_fract_x
_atom_site_fract_y
_atom_site_fract_z
_atom_site_occupancy
Cs1 Cs 0.0000 0.0000 0.0000 1
K1 K 0.5000 0.5000 0.5000 1
Ru1 Ru 0.0000 0.0000 0.5000 1
```

Excess energy over the best structure of this formula in the dataset, eV/f.u.: 0.00
ΔE_f, kJ/mol of atoms: 248.39
N(E_F), states/eV/f.u.: 9.0

***

Record 4
Density functional theory data (PBE-GGA) for CsK3Ru after structural relaxation.

CIF file:
```
data_CsK3Ru
_space_group_name_H-M_alt 'P m -3 m'
_space_group_IT_number 221
_space_group_name_Hall '-P 4 2 3'
_cell_length_a 6.9714
_cell_length_b 6.9714
_cell_length_c 6.9714
_cell_angle_alpha 90.00
_cell_angle_beta 90.00
_cell_angle_gamma 90.00
loop_
_atom_site_label
_atom_site_type_symbol
_atom_site_fract_x
_atom_site_fract_y
_atom_site_fract_z
_atom_site_occupancy
Cs1 Cs 0.0000 0.0000 0.0000 1
K1 K 0.0000 0.0000 0.5000 1
Ru1 Ru 0.5000 0.5000 0.5000 1
```

Excess energy over the best structure of this formula in the dataset, eV/f.u.: 4.09
ΔE_f, kJ/mol of atoms: 164.43
N(E_F), states/eV/f.u.: 43.7

***

Record 5
Density functional theory data (PBE-GGA) for Cs2K2Ru after structural relaxation.

CIF file:
```
data_Cs2K2Ru
_space_group_name_H-M_alt 'P 4/m b m'
_space_group_IT_number 127
_space_group_name_Hall '-P 4 2ab'
_cell_length_a 9.0204
_cell_length_b 9.0204
_cell_length_c 7.2679
_cell_angle_alpha 90.00
_cell_angle_beta 90.00
_cell_angle_gamma 90.00
loop_
_atom_site_label
_atom_site_type_symbol
_atom_site_fract_x
_atom_site_fract_y
_atom_site_fract_z
_atom_site_occupancy
Cs1 Cs 0.1961 0.3039 0.0000 1
K1 K 0.1647 0.6647 0.5000 1
Ru1 Ru 0.0000 0.0000 0.5000 1
```

ΔE_f, kJ/mol of atoms: 85.24
N(E_F), states/eV/f.u.: 1.5

***

Record 6
Density functional theory data (PBE-GGA) for CsKY2Ru after structural relaxation.

CIF file:
```
data_CsKY2Ru
_space_group_name_H-M_alt 'P 4/m m m'
_space_group_IT_number 123
_space_group_name_Hall '-P 4 2'
_cell_length_a 5.9830
_cell_length_b 5.9830
_cell_length_c 4.8786
_cell_angle_alpha 90.00
_cell_angle_beta 90.00
_cell_angle_gamma 90.00
loop_
_atom_site_label
_atom_site_type_symbol
_atom_site_fract_x
_atom_site_fract_y
_atom_site_fract_z
_atom_site_occupancy
Cs1 Cs 0.0000 0.0000 0.0000 1
K1 K 0.5000 0.5000 0.5000 1
Y1 Y 0.0000 0.5000 0.5000 1
Ru1 Ru 0.5000 0.5000 0.0000 1
```

ΔE_f, kJ/mol of atoms: 161.79
N(E_F), states/eV/f.u.: 9.1

***

Record 7
Density functional theory data (PBE-GGA) for CsKS after structural relaxation.

CIF file:
```
data_CsKS
_space_group_name_H-M_alt 'P 3 m 1'
_space_group_IT_number 156
_space_group_name_Hall 'P 3 -2"'
_cell_length_a 5.1103
_cell_length_b 5.1103
_cell_length_c 5.8026
_cell_angle_alpha 90.00
_cell_angle_beta 90.00
_cell_angle_gamma 120.00
loop_
_atom_site_label
_atom_site_type_symbol
_atom_site_fract_x
_atom_site_fract_y
_atom_site_fract_z
_atom_site_occupancy
Cs1 Cs 0.0000 0.0000 0.0000 1
K1 K 0.6667 0.3333 0.4687 1
S1 S 0.3333 0.6667 0.3060 1
```

Formation energy from raw total energies, eV per atom: -0.93

***

Record 8
Density functional theory data (PBE-GGA) for Cs2KS2 after structural relaxation.

CIF file:
```
data_Cs2KS2
_space_group_name_H-M_alt 'P 4/m b m'
_space_group_IT_number 127
_space_group_name_Hall '-P 4 2ab'
_cell_length_a 8.6619
_cell_length_b 8.6619
_cell_length_c 5.0515
_cell_angle_alpha 90.00
_cell_angle_beta 90.00
_cell_angle_gamma 90.00
loop_
_atom_site_label
_atom_site_type_symbol
_atom_site_fract_x
_atom_site_fract_y
_atom_site_fract_z
_atom_site_occupancy
Cs1 Cs 0.1517 0.3483 0.0000 1
K1 K 0.0000 0.0000 0.5000 1
S1 S 0.1396 0.6396 0.5000 1
```

N(E_F), states/eV/f.u.: 0.0
Formation energy from raw total energies, eV per atom: -0.77

***

Record 9
Density functional theory data (PBE-GGA) for CsK2S after structural relaxation.

CIF file:
```
data_CsK2S
_space_group_name_H-M_alt 'R -3 m'
_space_group_IT_number 166
_space_group_name_Hall '-R 3 2"'
_cell_length_a 5.0231
_cell_length_b 5.0231
_cell_length_c 37.7141
_cell_angle_alpha 90.00
_cell_angle_beta 90.00
_cell_angle_gamma 120.00
loop_
_atom_site_label
_atom_site_type_symbol
_atom_site_fract_x
_atom_site_fract_y
_atom_site_fract_z
_atom_site_occupancy
Cs1 Cs 0.0000 0.0000 0.0000 1
K1 K 0.0000 0.0000 0.1351 1
S1 S 0.0000 0.0000 0.5000 1
```

N(E_F), states/eV/f.u.: 1.0
Formation energy from raw total energies, eV per atom: -0.64

***

Record 10
Density functional theory data (PBE-GGA) for Cs3K4S after structural relaxation.

CIF file:
```
data_Cs3K4S
_space_group_name_H-M_alt 'P m m n'
_space_group_IT_number 59
_cell_length_a 8.2140
_cell_length_b 15.3902
_cell_length_c 8.9122
_cell_angle_alpha 90.00
_cell_angle_beta 90.00
_cell_angle_gamma 90.00
loop_
_space_group_symop_operation_xyz
'x,y,z'
'-x,-y,-z'
'-x+1/2,-y+1/2,z'
'x+1/2,y+1/2,-z'
'x+1/2,-y,-z'
'-x+1/2,y,z'
'-x,y+1/2,-z'
'x,-y+1/2,z'
loop_
_atom_site_label
_atom_site_type_symbol
_atom_site_fract_x
_atom_site_fract_y
_atom_site_fract_z
_atom_site_occupancy
Cs1 Cs 0.2500 0.0288 0.1803 1
Cs2 Cs 0.2500 0.7500 0.5430 1
K1 K 0.0088 0.2500 0.0299 1
K2 K 0.2500 0.1233 0.5959 1
S1 S 0.2500 0.2500 0.3088 1
```

N(E_F), states/eV/f.u.: 5.5
Formation energy from raw total energies, eV per atom: -0.31

***

Record 11
Density functional theory data (PBE-GGA) for Cs4K2S after structural relaxation.

CIF file:
```
data_Cs4K2S
_space_group_name_H-M_alt 'C 1 2/m 1'
_space_group_IT_number 12
_space_group_name_Hall '-C 2y'
_cell_length_a 18.8250
_cell_length_b 6.2850
_cell_length_c 9.4364
_cell_angle_alpha 90.00
_cell_angle_beta 118.02
_cell_angle_gamma 90.00
loop_
_atom_site_label
_atom_site_type_symbol
_atom_site_fract_x
_atom_site_fract_y
_atom_site_fract_z
_atom_site_occupancy
Cs1 Cs 0.0327 0.0000 0.2293 1
Cs2 Cs 0.1299 0.5000 0.7982 1
K1 K 0.1843 0.5000 0.2853 1
S1 S 0.0000 0.5000 0.0000 1
```

Excess energy over the best structure of this formula in the dataset, eV/f.u.: 0.17
N(E_F), states/eV/f.u.: 4.5
Formation energy from raw total energies, eV per atom: -0.36

***

Record 12
Density functional theory data (PBE-GGA) for Cs6K2S after structural relaxation.

CIF file:
```
data_Cs6K2S
_space_group_name_H-M_alt 'R 3 m'
_space_group_IT_number 160
_space_group_name_Hall 'R 3 -2"'
_cell_length_a 10.1227
_cell_length_b 10.1227
_cell_length_c 26.5707
_cell_angle_alpha 90.00
_cell_angle_beta 90.00
_cell_angle_gamma 120.00
loop_
_atom_site_label
_atom_site_type_symbol
_atom_site_fract_x
_atom_site_fract_y
_atom_site_fract_z
_atom_site_occupancy
Cs1 Cs 0.1807 0.3614 0.0000 1
Cs2 Cs 0.1836 0.3672 0.1610 1
K1 K 0.0000 0.0000 0.6704 1
K2 K 0.0000 0.0000 0.8452 1
S1 S 0.0000 0.0000 0.4125 1
```

N(E_F), states/eV/f.u.: 6.4
Formation energy from raw total energies, eV per atom: -0.30

***

Question: Which formula does entry 10 have?
Answer: Cs3K4S